VASP calculation (GGA-PBE) on crystalline TlAgBr2 at its relaxed geometry.

Cell: 7.3637 7.3637 4.3980 Å, 92.13 92.13 35.00°
Last column: nearest neighbours and their distance in Å.
Sites, in units of the cell vectors:
1 Tl 0.0000 0.0000 0.0000  6 Br 3.29-3.42
2 Ag 0.2808 0.2808 0.9798  4 Br 2.69-2.79
3 Br 0.4012 0.4012 0.4894  2 Ag 2.75-2.79
4 Br 0.6717 0.6717 0.9415  2 Ag 2.69

The calculation puts the density at 5.7 g/cm³. As for the total energy: -10.84 eV for the cell shown. The space group is Cm (8). The formation energy from raw total energies comes out at -568 meV/atom.


VASP calculation (GGA-PBE) on crystalline TlAg2Br5 at its relaxed geometry.

Cell: 7.7107 7.7107 6.8247 Å, 115.65 115.65 67.64°
Last column: nearest neighbours and their distance in Å.
Sites, in units of the cell vectors:
1 Tl 0.0000 0.0000 0.0000  5 Br 2.67-2.86
2 Ag 0.5651 0.9335 0.3032  4 Br 2.72-2.77
3 Ag 0.9335 0.5651 0.3032  4 Br 2.72-2.77
4 Br 0.2481 0.2481 0.3723  2 Ag 2.75, 1 Tl 2.85
5 Br 0.3222 0.7538 0.8912  1 Tl 2.67, 1 Ag 2.72
6 Br 0.7499 0.7499 0.6321  2 Ag 2.74, 1 Tl 2.86
7 Br 0.7538 0.3222 0.8912  1 Tl 2.67, 1 Ag 2.72
8 Br 0.9304 0.9304 0.3178  1 Tl 2.74, 2 Ag 2.77

The calculation puts the density at 4.2 g/cm³. As for the total energy: -19.50 eV for the cell shown. The space group is Cm (8). The formation energy from raw total energies comes out at -383 meV/atom.


VASP calculation (GGA-PBE) on crystalline TlAg2Br at its relaxed geometry.

Cell: 3.7323 3.6536 7.8846 Å, 90.00 103.67 90.00°
Last column: nearest neighbours and their distance in Å.
Sites, in units of the cell vectors:
1 Tl 0.0000 0.0000 0.0000  4 Br 3.28-3.29, 5 Ag 3.43-3.48, 2 Tl 3.65
2 Ag 0.3467 0.5000 0.7010  4 Ag 2.85
3 Ag 0.7721 0.0000 0.5523  4 Ag 2.85, 2 Br 2.89
4 Br 0.6310 0.5000 0.2602  2 Ag 2.89

The excess energy over the best structure of this formula in the dataset is 0 meV per atom. The calculation puts the density at 7.9 g/cm³. As for the total energy: -9.99 eV for the cell shown. The space group is Pm (6). The formation energy from raw total energies comes out at -63 meV/atom.


VASP calculation (GGA-PBE) on crystalline TlAgBr2 at its relaxed geometry.

Cell: 3.7491 3.7491 7.8290 Å, 90.00 90.00 90.00°
Last column: nearest neighbours and their distance in Å.
Sites, in units of the cell vectors:
1 Tl 0.0000 0.0000 0.0000  8 Br 3.42, 4 Tl 3.75
2 Ag 0.0000 0.0000 0.5000  8 Br 3.18
3 Br 0.5000 0.5000 0.2763  4 Ag 3.18, 4 Tl 3.42, 1 Br 3.50
4 Br 0.5000 0.5000 0.7237  4 Ag 3.18, 4 Tl 3.42, 1 Br 3.50

The calculation puts the density at 7.1 g/cm³. As for the total energy: -10.31 eV for the cell shown. The space group is P4/mmm (123). The formation energy from raw total energies comes out at -436 meV/atom.


VASP calculation (GGA-PBE) on crystalline Tl2Ag2Br7 at its relaxed geometry.

Cell: 8.0117 8.0117 7.5453 Å, 109.27 109.27 88.59°
Last column: nearest neighbours and their distance in Å.
Sites, in units of the cell vectors:
1 Tl 0.2071 0.2071 0.4047  4 Br 2.74-2.78
2 Tl 0.7929 0.7929 0.5953  4 Br 2.74-2.78
3 Ag 0.3170 0.6830 0.0000  4 Br 2.67-2.78
4 Ag 0.6830 0.3170 0.0000  4 Br 2.67-2.78
5 Br 0.0000 0.0000 0.5000  2 Tl 2.78
6 Br 0.0300 0.4118 0.1886  1 Ag 2.67, 1 Tl 2.74
7 Br 0.4118 0.0300 0.1886  1 Ag 2.67, 1 Tl 2.74
8 Br 0.4580 0.4580 0.7273  2 Ag 2.78, 1 Tl 2.78
9 Br 0.5420 0.5420 0.2727  2 Ag 2.78, 1 Tl 2.78
10 Br 0.5882 0.9700 0.8114  1 Ag 2.67, 1 Tl 2.74
11 Br 0.9700 0.5882 0.8114  1 Ag 2.67, 1 Tl 2.74

The excess energy over the best structure of this formula in the dataset is 13 meV per atom. The calculation puts the density at 4.6 g/cm³. As for the total energy: -26.60 eV for the cell shown. The space group is C2/m (12). The formation energy from raw total energies comes out at -405 meV/atom.


VASP calculation (GGA-PBE) on crystalline Tl3Ag2Br6 at its relaxed geometry.

Cell: 14.2668 14.2668 14.2668 Å, 158.80 158.80 30.16°
Last column: nearest neighbours and their distance in Å.
Sites, in units of the cell vectors:
1 Tl 0.0000 0.0000 0.0000  8 Br 3.45
2 Tl 0.1845 0.1845 0.0000  1 Br 3.13
3 Tl 0.8155 0.8155 0.0000  1 Br 3.13
4 Ag 0.4001 0.4001 0.0000  5 Br 2.67-2.81
5 Ag 0.5999 0.5999 0.0000  5 Br 2.67-2.81
6 Br 0.0815 0.5815 0.5000  2 Ag 2.67
7 Br 0.2981 0.2981 0.0000  1 Ag 2.81, 1 Tl 3.13
8 Br 0.4185 0.9185 0.5000  2 Ag 2.67
9 Br 0.5815 0.0815 0.5000  2 Ag 2.67
10 Br 0.7019 0.7019 0.0000  1 Ag 2.81, 1 Tl 3.13
11 Br 0.9185 0.4185 0.5000  2 Ag 2.67

The calculation puts the density at 5.7 g/cm³. As for the total energy: -29.30 eV for the cell shown. The space group is I4/mmm (139). The formation energy from raw total energies comes out at -588 meV/atom.


VASP calculation (GGA-PBE) on crystalline TlAg2Br at its relaxed geometry.

Cell: 5.2265 5.2265 3.6357 Å, 90.00 90.00 106.14°
Last column: nearest neighbours and their distance in Å.
Sites, in units of the cell vectors:
1 Tl 0.0000 0.0000 0.0000  2 Br 3.14, 8 Ag 3.18
2 Ag 0.0000 0.5000 0.5000  2 Ag 3.14, 4 Tl 3.18, 4 Br 3.18
3 Ag 0.5000 0.0000 0.5000  2 Ag 3.14, 4 Tl 3.18, 4 Br 3.18
4 Br 0.5000 0.5000 0.0000  2 Tl 3.14, 8 Ag 3.18

The excess energy over the best structure of this formula in the dataset is 167 meV per atom. The calculation puts the density at 8.7 g/cm³. As for the total energy: -9.33 eV for the cell shown. The space group is Cmmm (65). The formation energy from raw total energies comes out at 103 meV/atom.


VASP calculation (GGA-PBE) on crystalline TlAg2Br at its relaxed geometry.

Cell: 5.3340 5.3340 7.3666 Å, 121.27 121.27 40.43°
Last column: nearest neighbours and their distance in Å.
Sites, in units of the cell vectors:
1 Tl 0.0000 0.0000 0.0000  6 Ag 3.00-3.06
2 Ag 0.2194 0.2194 0.8316  2 Ag 2.87, 2 Br 2.87, 3 Tl 3.00-3.06
3 Ag 0.7806 0.7806 0.1684  2 Ag 2.87, 2 Br 2.87, 3 Tl 3.00-3.06
4 Br 0.5000 0.5000 0.5000  4 Ag 2.87

The excess energy over the best structure of this formula in the dataset is 44 meV per atom. The calculation puts the density at 7.3 g/cm³. As for the total energy: -9.82 eV for the cell shown. The space group is C2/m (12). The formation energy from raw total energies comes out at -19 meV/atom.


- Which value of formation energy from raw total energies does entry 2 give?
  -383 meV/atom


- Look up the formation energy from raw total energies of the sixth one.
  -588 meV/atom


- Look up the formation energy from raw total energies of the fourth one.
  -436 meV/atom